1.
DFT (PBE-GGA) results for V2ZnIn2 after structural relaxation.

Lattice parameters (Å, degrees): 6.7458 6.7458 4.0201 90.00 90.00 90.00
Space group P4/mbm (No. 127)
Asymmetric unit:
V  0.1180  0.3820  0.0000 (multiplicity 4)
Zn  0.0000  0.0000  0.0000 (multiplicity 2)
In  0.1782  0.6782  0.5000 (multiplicity 4)

Properties
theoretical density = 7206 kg/m3
ΔE_f = 248 meV per atom
total energy = -4.75 eV/atom
energy above the lowest structure with this stoichiometry = 0 meV per atom

***

2.
DFT (PBE-GGA) results for La2TbGe after structural relaxation.

Lattice parameters (Å, degrees): 4.1371 4.1371 27.6417 90.00 90.00 120.00
Space group R-3m (No. 166, hexagonal axes)
Asymmetric unit:
La  0.0000  0.0000  0.2321 (multiplicity 6)
Tb  0.0000  0.0000  0.0000 (multiplicity 3)
Ge  0.0000  0.0000  0.5000 (multiplicity 3)

Properties
theoretical density = 6193 kg/m3
ΔE_f = -181 meV per atom
total energy = -4.96 eV/atom
energy above the lowest structure with this stoichiometry = 180 meV per atom

***

3.
DFT (PBE-GGA) results for Ti2PC after structural relaxation.

Lattice parameters (Å, degrees): 5.2451 5.2451 9.6355 90.00 90.00 90.00
Space group I-42d (No. 122)
Asymmetric unit:
Ti  0.1854  0.2500  0.1250 (multiplicity 8)
P  0.0000  0.0000  0.5000 (multiplicity 4)
C  0.0000  0.0000  0.0000 (multiplicity 4)

Properties
theoretical density = 3476 kg/m3
ΔE_f = -371 meV per atom
total energy = -7.98 eV/atom

***

4.
DFT (PBE-GGA) results for PrNdSc2 after structural relaxation.

Lattice parameters (Å, degrees): 5.5980 5.5980 3.8002 90.00 90.00 90.00
Space group P4/mmm (No. 123)
Asymmetric unit:
Pr  0.0000  0.0000  0.0000 (multiplicity 1)
Nd  0.5000  0.5000  0.0000 (multiplicity 1)
Sc  0.0000  0.5000  0.5000 (multiplicity 2)

Properties
theoretical density = 5230 kg/m3
ΔE_f = 72 meV per atom
total energy = -5.48 eV/atom
energy above the lowest structure with this stoichiometry = 21 meV per atom